# K2NaFeF6 GGA+U relaxed
data_K2NaFeF6
_chemical_formula_sum 'K8 Na4 Fe4 F24'
_space_group_name_H-M_alt 'F m -3 m'
_space_group_IT_number 225
_space_group_name_Hall '-F 4 2 3'
_cell_length_a 8.4524
_cell_length_b 8.4524
_cell_length_c 8.4524
_cell_angle_alpha 90.00
_cell_angle_beta 90.00
_cell_angle_gamma 90.00
loop_
_atom_site_label
_atom_site_type_symbol
_atom_site_fract_x
_atom_site_fract_y
_atom_site_fract_z
K1 K 0.2500 0.2500 0.2500
Na1 Na 0.0000 0.0000 0.0000
Fe1 Fe 0.0000 0.0000 0.5000
F1 F 0.0000 0.0000 0.2683
# Energy = -4.7985 eV/atom